Run w
# PBE-GGA Ag2PtAu2, optimized geometry
# size of the total moment = 0.000 μB per atom
# calculated volume = 96.6 Å³/f.u.
data_Ag2PtAu2
_cell_length_a 7.469
_cell_length_b 7.469
_cell_length_c 7.469
_cell_angle_alpha 151.18
_cell_angle_beta 151.18
_cell_angle_gamma 41.21
_symmetry_space_group_name_H-M 'P 1'
_symmetry_Int_Tables_number 1
_symmetry_space_group_name_Hall 'P 1'
loop_
_atom_site_label
_atom_site_type_symbol
_atom_site_fract_x
_atom_site_fract_y
_atom_site_fract_z
Ag1 Ag 0.250 0.750 0.500
Ag2 Ag 0.750 0.250 0.500
Pt1 Pt 0.000 0.000 0.000
Au1 Au 0.404 0.404 0.000
Au2 Au 0.596 0.596 0.000

Run x
# PBE-GGA Ag2PtAu2, optimized geometry
# size of the total moment = 0.000 μB per atom
# calculated volume = 99.0 Å³/f.u.
data_Ag2PtAu2
_cell_length_a 7.580
_cell_length_b 7.580
_cell_length_c 7.580
_cell_angle_alpha 151.49
_cell_angle_beta 151.49
_cell_angle_gamma 40.76
_symmetry_space_group_name_H-M 'P 1'
_symmetry_Int_Tables_number 1
_symmetry_space_group_name_Hall 'P 1'
loop_
_atom_site_label
_atom_site_type_symbol
_atom_site_fract_x
_atom_site_fract_y
_atom_site_fract_z
Ag1 Ag 0.094 0.094 0.000
Ag2 Ag 0.906 0.906 0.000
Pt1 Pt 0.500 0.500 0.000
Au1 Au 0.250 0.750 0.500
Au2 Au 0.750 0.250 0.500

Run y
# PBE-GGA Ag2PtAu2, optimized geometry
# size of the total moment = 0.000 μB per atom
# calculated volume = 95.1 Å³/f.u.
data_Ag2PtAu2
_cell_length_a 6.965
_cell_length_b 6.965
_cell_length_c 3.919
_cell_angle_alpha 90.00
_cell_angle_beta 90.00
_cell_angle_gamma 90.00
_symmetry_space_group_name_H-M 'P 1'
_symmetry_Int_Tables_number 1
_symmetry_space_group_name_Hall 'P 1'
loop_
_atom_site_label
_atom_site_type_symbol
_atom_site_fract_x
_atom_site_fract_y
_atom_site_fract_z
Ag1 Ag 0.165 0.335 0.000
Ag2 Ag 0.335 0.835 0.000
Ag3 Ag 0.665 0.165 0.000
Ag4 Ag 0.835 0.665 0.000
Pt1 Pt 0.000 0.000 0.500
Pt2 Pt 0.500 0.500 0.500
Au1 Au 0.138 0.638 0.500
Au2 Au 0.362 0.138 0.500
Au3 Au 0.638 0.862 0.500
Au4 Au 0.862 0.362 0.500

Relative energies, unit kJ/mol of atoms: run w 18.8; run x 17.3; run y 0.0

Run w
# PBE-GGA Ag6PtAu5, optimized geometry
# size of the total moment = 0.000 μB per atom
# calculated volume = 212.0 Å³/f.u.
data_Ag6PtAu5
_cell_length_a 6.524
_cell_length_b 6.524
_cell_length_c 5.088
_cell_angle_alpha 97.26
_cell_angle_beta 97.26
_cell_angle_gamma 83.30
_symmetry_space_group_name_H-M 'P 1'
_symmetry_Int_Tables_number 1
_symmetry_space_group_name_Hall 'P 1'
loop_
_atom_site_label
_atom_site_type_symbol
_atom_site_fract_x
_atom_site_fract_y
_atom_site_fract_z
Ag1 Ag 0.083 0.414 0.250
Ag2 Ag 0.249 0.249 0.754
Ag3 Ag 0.414 0.083 0.250
Ag4 Ag 0.586 0.917 0.750
Ag5 Ag 0.751 0.751 0.246
Ag6 Ag 0.917 0.586 0.750
Pt1 Pt 0.000 0.000 0.000
Au1 Au 0.165 0.835 0.500
Au2 Au 0.331 0.669 0.000
Au3 Au 0.500 0.500 0.500
Au4 Au 0.669 0.331 0.000
Au5 Au 0.835 0.165 0.500

Run x
# PBE-GGA Ag6PtAu5, optimized geometry
# size of the total moment = 0.000 μB per atom
# calculated volume = 212.1 Å³/f.u.
data_Ag6PtAu5
_cell_length_a 7.701
_cell_length_b 7.701
_cell_length_c 4.130
_cell_angle_alpha 105.44
_cell_angle_beta 105.44
_cell_angle_gamma 105.40
_symmetry_space_group_name_H-M 'P 1'
_symmetry_Int_Tables_number 1
_symmetry_space_group_name_Hall 'P 1'
loop_
_atom_site_label
_atom_site_type_symbol
_atom_site_fract_x
_atom_site_fract_y
_atom_site_fract_z
Ag1 Ag 0.083 0.414 0.749
Ag2 Ag 0.247 0.247 0.248
Ag3 Ag 0.414 0.083 0.749
Ag4 Ag 0.586 0.917 0.251
Ag5 Ag 0.753 0.753 0.752
Ag6 Ag 0.917 0.586 0.251
Pt1 Pt 0.000 0.000 0.500
Au1 Au 0.165 0.835 0.000
Au2 Au 0.333 0.667 0.500
Au3 Au 0.500 0.500 0.000
Au4 Au 0.667 0.333 0.500
Au5 Au 0.835 0.165 0.000

Relative energies, unit kJ/mol of atoms: run w 1.2; run x 0.0

Run w
# PBE-GGA Ag3PtAu2, optimized geometry
# size of the total moment = 0.000 μB per atom
# calculated volume = 112.1 Å³/f.u.
data_Ag3PtAu2
_cell_length_a 8.064
_cell_length_b 8.064
_cell_length_c 8.064
_cell_angle_alpha 138.86
_cell_angle_beta 59.50
_cell_angle_gamma 138.97
_symmetry_space_group_name_H-M 'P 1'
_symmetry_Int_Tables_number 1
_symmetry_space_group_name_Hall 'P 1'
loop_
_atom_site_label
_atom_site_type_symbol
_atom_site_fract_x
_atom_site_fract_y
_atom_site_fract_z
Ag1 Ag 0.156 0.249 0.405
Ag2 Ag 0.250 0.250 0.000
Ag3 Ag 0.344 0.749 0.092
Ag4 Ag 0.656 0.251 0.908
Ag5 Ag 0.750 0.750 0.000
Ag6 Ag 0.844 0.751 0.595
Pt1 Pt 0.250 0.750 0.500
Pt2 Pt 0.750 0.250 0.500
Au1 Au 0.147 0.743 0.890
Au2 Au 0.353 0.243 0.597
Au3 Au 0.647 0.757 0.403
Au4 Au 0.853 0.257 0.110

Run x
# PBE-GGA Ag3PtAu2, optimized geometry
# size of the total moment = 0.000 μB per atom
# calculated volume = 115.5 Å³/f.u.
data_Ag3PtAu2
_cell_length_a 8.556
_cell_length_b 8.556
_cell_length_c 8.556
_cell_angle_alpha 161.49
_cell_angle_beta 144.43
_cell_angle_gamma 40.39
_symmetry_space_group_name_H-M 'P 1'
_symmetry_Int_Tables_number 1
_symmetry_space_group_name_Hall 'P 1'
loop_
_atom_site_label
_atom_site_type_symbol
_atom_site_fract_x
_atom_site_fract_y
_atom_site_fract_z
Ag1 Ag 0.000 0.000 0.000
Ag2 Ag 0.330 0.830 0.500
Ag3 Ag 0.670 0.170 0.500
Pt1 Pt 0.500 0.000 0.500
Au1 Au 0.157 0.657 0.500
Au2 Au 0.843 0.343 0.500

Relative energies, unit kJ/mol of atoms: run w 0.0; run x 14.0

Run w
# PBE-GGA Ag3Pt2Au3, optimized geometry
# size of the total moment = 0.000 μB per atom
# calculated volume = 137.8 Å³/f.u.
data_Ag3Pt2Au3
_cell_length_a 8.747
_cell_length_b 8.747
_cell_length_c 8.747
_cell_angle_alpha 153.15
_cell_angle_beta 152.84
_cell_angle_gamma 38.57
_symmetry_space_group_name_H-M 'P 1'
_symmetry_Int_Tables_number 1
_symmetry_space_group_name_Hall 'P 1'
loop_
_atom_site_label
_atom_site_type_symbol
_atom_site_fract_x
_atom_site_fract_y
_atom_site_fract_z
Ag1 Ag 0.000 0.000 0.000
Ag2 Ag 0.128 0.628 0.500
Ag3 Ag 0.872 0.372 0.500
Pt1 Pt 0.251 0.251 0.000
Pt2 Pt 0.749 0.749 0.000
Au1 Au 0.372 0.872 0.500
Au2 Au 0.500 0.500 0.000
Au3 Au 0.628 0.128 0.500

Run x
# PBE-GGA Ag3Pt2Au3, optimized geometry
# size of the total moment = 0.000 μB per atom
# calculated volume = 138.8 Å³/f.u.
data_Ag3Pt2Au3
_cell_length_a 4.820
_cell_length_b 4.847
_cell_length_c 5.940
_cell_angle_alpha 90.00
_cell_angle_beta 90.00
_cell_angle_gamma 90.00
_symmetry_space_group_name_H-M 'P 1'
_symmetry_Int_Tables_number 1
_symmetry_space_group_name_Hall 'P 1'
loop_
_atom_site_label
_atom_site_type_symbol
_atom_site_fract_x
_atom_site_fract_y
_atom_site_fract_z
Ag1 Ag 0.000 0.000 0.000
Ag2 Ag 0.500 0.000 0.249
Ag3 Ag 0.500 0.000 0.751
Pt1 Pt 0.000 0.500 0.253
Pt2 Pt 0.000 0.500 0.747
Au1 Au 0.000 0.000 0.500
Au2 Au 0.500 0.500 0.000
Au3 Au 0.500 0.500 0.500

Relative energies, unit kJ/mol of atoms: run w 0.0; run x 0.8